No. 1
TaSiGe | GGA-PBE | optimized geometry

CIF file:
```
data_TaSiGe
_cell_length_a 6.049
_cell_length_b 6.049
_cell_length_c 6.049
_cell_angle_alpha 90.00
_cell_angle_beta 90.00
_cell_angle_gamma 90.00
_space_group_name_H-M_alt 'F -4 3 m'
_space_group_IT_number 216
_space_group_name_Hall 'F -4 2 3'
loop_
_atom_site_label
_atom_site_type_symbol
_atom_site_fract_x
_atom_site_fract_y
_atom_site_fract_z
Ta1 Ta 0.000 0.000 0.000
Si1 Si 0.250 0.250 0.750
Ge1 Ge 0.000 0.000 0.500
```

Energy relative to the lowest polymorph listed for this composition, kJ/mol of formula units: 9

---

No. 2
ReN | GGA-PBE | optimized geometry

CIF file:
```
data_ReN
_cell_length_a 4.060
_cell_length_b 4.060
_cell_length_c 4.060
_cell_angle_alpha 90.00
_cell_angle_beta 90.00
_cell_angle_gamma 90.00
_space_group_name_H-M_alt 'P m -3 m'
_space_group_IT_number 221
_space_group_name_Hall '-P 4 2 3'
loop_
_atom_site_label
_atom_site_type_symbol
_atom_site_fract_x
_atom_site_fract_y
_atom_site_fract_z
Re1 Re 0.000 0.000 0.500
N1 N 0.000 0.500 0.500
```

Energy relative to the lowest polymorph listed for this composition, kJ/mol of formula units: 0

---

No. 3
TaZnGaFe | GGA-PBE | optimized geometry

CIF file:
```
data_TaZnGaFe
_cell_length_a 6.161
_cell_length_b 6.161
_cell_length_c 6.161
_cell_angle_alpha 90.00
_cell_angle_beta 90.00
_cell_angle_gamma 90.00
_space_group_name_H-M_alt 'F -4 3 m'
_space_group_IT_number 216
_space_group_name_Hall 'F -4 2 3'
loop_
_atom_site_label
_atom_site_type_symbol
_atom_site_fract_x
_atom_site_fract_y
_atom_site_fract_z
Ta1 Ta 0.000 0.000 0.000
Zn1 Zn 0.250 0.250 0.750
Ga1 Ga 0.250 0.250 0.250
Fe1 Fe 0.000 0.000 0.500
```

Energy relative to the lowest polymorph listed for this composition, kJ/mol of formula units: 76

---

No. 4
NpUPb | GGA-PBE | optimized geometry

CIF file:
```
data_NpUPb
_cell_length_a 7.142
_cell_length_b 7.142
_cell_length_c 7.142
_cell_angle_alpha 90.00
_cell_angle_beta 90.00
_cell_angle_gamma 90.00
_space_group_name_H-M_alt 'F -4 3 m'
_space_group_IT_number 216
_space_group_name_Hall 'F -4 2 3'
loop_
_atom_site_label
_atom_site_type_symbol
_atom_site_fract_x
_atom_site_fract_y
_atom_site_fract_z
Np1 Np 0.000 0.000 0.000
U1 U 0.250 0.250 0.250
Pb1 Pb 0.000 0.000 0.500
```

---

No. 5
ZnCdTeO | GGA-PBE | optimized geometry

CIF file:
```
data_ZnCdTeO
_cell_length_a 4.048
_cell_length_b 4.048
_cell_length_c 9.676
_cell_angle_alpha 90.00
_cell_angle_beta 90.00
_cell_angle_gamma 90.00
_space_group_name_H-M_alt 'P 4/n m m'
_space_group_IT_number 129
loop_
_space_group_symop_operation_xyz
'x,y,z'
'-x,-y,-z'
'-y+1/2,x,z'
'y+1/2,-x,-z'
'-x+1/2,-y+1/2,z'
'x+1/2,y+1/2,-z'
'y,-x+1/2,z'
'-y,x+1/2,-z'
'x+1/2,-y,-z'
'-x+1/2,y,z'
'-y,-x,-z'
'y,x,z'
'-x,y+1/2,-z'
'x,-y+1/2,z'
'y+1/2,x+1/2,-z'
'-y+1/2,-x+1/2,z'
loop_
_atom_site_label
_atom_site_type_symbol
_atom_site_fract_x
_atom_site_fract_y
_atom_site_fract_z
Zn1 Zn 0.250 0.250 0.048
Cd1 Cd 0.250 0.250 0.698
Te1 Te 0.250 0.250 0.340
O1 O 0.250 0.750 0.000
```

Energy relative to the lowest polymorph listed for this composition, kJ/mol of formula units: 70

---

No. 6
BaPaNi | GGA-PBE | optimized geometry

CIF file:
```
data_BaPaNi
_cell_length_a 6.982
_cell_length_b 6.982
_cell_length_c 6.982
_cell_angle_alpha 90.00
_cell_angle_beta 90.00
_cell_angle_gamma 90.00
_space_group_name_H-M_alt 'F -4 3 m'
_space_group_IT_number 216
_space_group_name_Hall 'F -4 2 3'
loop_
_atom_site_label
_atom_site_type_symbol
_atom_site_fract_x
_atom_site_fract_y
_atom_site_fract_z
Ba1 Ba 0.000 0.000 0.000
Pa1 Pa 0.000 0.000 0.500
Ni1 Ni 0.250 0.250 0.750
```

Energy relative to the lowest polymorph listed for this composition, kJ/mol of formula units: 0

---

No. 7
Hf2NbIr | GGA-PBE | optimized geometry

CIF file:
```
data_Hf2NbIr
_cell_length_a 6.618
_cell_length_b 6.618
_cell_length_c 6.618
_cell_angle_alpha 90.00
_cell_angle_beta 90.00
_cell_angle_gamma 90.00
_space_group_name_H-M_alt 'F -4 3 m'
_space_group_IT_number 216
_space_group_name_Hall 'F -4 2 3'
loop_
_atom_site_label
_atom_site_type_symbol
_atom_site_fract_x
_atom_site_fract_y
_atom_site_fract_z
Hf1 Hf 0.000 0.000 0.000
Hf2 Hf 0.250 0.250 0.250
Nb1 Nb 0.000 0.000 0.500
Ir1 Ir 0.250 0.250 0.750
```

---

No. 8
MgCoPbAu | GGA-PBE | optimized geometry

CIF file:
```
data_MgCoPbAu
_cell_length_a 6.598
_cell_length_b 6.598
_cell_length_c 6.598
_cell_angle_alpha 90.00
_cell_angle_beta 90.00
_cell_angle_gamma 90.00
_space_group_name_H-M_alt 'F -4 3 m'
_space_group_IT_number 216
_space_group_name_Hall 'F -4 2 3'
loop_
_atom_site_label
_atom_site_type_symbol
_atom_site_fract_x
_atom_site_fract_y
_atom_site_fract_z
Mg1 Mg 0.000 0.000 0.000
Co1 Co 0.000 0.000 0.500
Pb1 Pb 0.250 0.250 0.250
Au1 Au 0.250 0.250 0.750
```

Energy relative to the lowest polymorph listed for this composition, kJ/mol of formula units: 0

---

No. 9
Zr3Zn | GGA-PBE | optimized geometry

CIF file:
```
data_Zr3Zn
_cell_length_a 5.092
_cell_length_b 6.039
_cell_length_c 5.434
_cell_angle_alpha 90.00
_cell_angle_beta 90.00
_cell_angle_gamma 90.00
_space_group_name_H-M_alt 'P m m n'
_space_group_IT_number 59
loop_
_space_group_symop_operation_xyz
'x,y,z'
'-x,-y,-z'
'-x+1/2,-y+1/2,z'
'x+1/2,y+1/2,-z'
'x+1/2,-y,-z'
'-x+1/2,y,z'
'-x,y+1/2,-z'
'x,-y+1/2,z'
loop_
_atom_site_label
_atom_site_type_symbol
_atom_site_fract_x
_atom_site_fract_y
_atom_site_fract_z
Zr1 Zr 0.250 0.001 0.159
Zr2 Zr 0.250 0.250 0.644
Zn1 Zn 0.250 0.750 0.667
```

---

No. 10
NaZr | GGA-PBE | optimized geometry

CIF file:
```
data_NaZr
_cell_length_a 5.178
_cell_length_b 7.338
_cell_length_c 5.314
_cell_angle_alpha 90.00
_cell_angle_beta 90.00
_cell_angle_gamma 90.00
_space_group_name_H-M_alt 'P m m 2'
_space_group_IT_number 25
loop_
_space_group_symop_operation_xyz
'x,y,z'
'-x,-y,z'
'-x,y,z'
'x,-y,z'
loop_
_atom_site_label
_atom_site_type_symbol
_atom_site_fract_x
_atom_site_fract_y
_atom_site_fract_z
Na1 Na 0.000 0.000 0.000
Na2 Na 0.000 0.241 0.499
Na3 Na 0.500 0.000 0.414
Zr1 Zr 0.000 0.500 0.008
Zr2 Zr 0.500 0.299 0.923
Zr3 Zr 0.500 0.500 0.402
```

Energy relative to the lowest polymorph listed for this composition, kJ/mol of formula units: 43

---

No. 11
PrNdB2Pd2Pt6 | GGA-PBE | optimized geometry

CIF file:
```
data_PrNdB2Pd2Pt6
_cell_length_a 5.5033
_cell_length_b 5.5033
_cell_length_c 7.7013
_cell_angle_alpha 90.00
_cell_angle_beta 90.00
_cell_angle_gamma 120.00
_space_group_name_H-M_alt 'P 6/m m m'
_space_group_IT_number 191
_space_group_name_Hall '-P 6 2'
loop_
_atom_site_label
_atom_site_type_symbol
_atom_site_fract_x
_atom_site_fract_y
_atom_site_fract_z
Pr1 Pr 0.0000 0.0000 0.0000
Nd1 Nd 0.0000 0.0000 0.5000
B1 B 0.3333 0.6667 0.0000
Pd1 Pd 0.3333 0.6667 0.5000
Pt1 Pt 0.0000 0.5000 0.1989
```

Energy relative to the lowest polymorph listed for this composition, kJ/mol of formula units: 11

---

No. 12
NpSiBi | GGA-PBE | optimized geometry

CIF file:
```
data_NpSiBi
_cell_length_a 6.844
_cell_length_b 6.844
_cell_length_c 6.844
_cell_angle_alpha 90.00
_cell_angle_beta 90.00
_cell_angle_gamma 90.00
_space_group_name_H-M_alt 'F -4 3 m'
_space_group_IT_number 216
_space_group_name_Hall 'F -4 2 3'
loop_
_atom_site_label
_atom_site_type_symbol
_atom_site_fract_x
_atom_site_fract_y
_atom_site_fract_z
Np1 Np 0.000 0.000 0.000
Si1 Si 0.250 0.250 0.750
Bi1 Bi 0.000 0.000 0.500
```

---

No. 13
Zr4Sc2Fe3N3 | GGA-PBE | optimized geometry

CIF file:
```
data_Zr4Sc2Fe3N3
_cell_length_a 9.573
_cell_length_b 5.520
_cell_length_c 13.698
_cell_angle_alpha 90.00
_cell_angle_beta 103.89
_cell_angle_gamma 90.00
_space_group_name_H-M_alt 'C 1 2/c 1'
_space_group_IT_number 15
loop_
_space_group_symop_operation_xyz
'x,y,z'
'-x,-y,-z'
'-x,y,-z+1/2'
'x,-y,z+1/2'
'x+1/2,y+1/2,z'
'-x+1/2,-y+1/2,-z'
'-x+1/2,y+1/2,-z+1/2'
'x+1/2,-y+1/2,z+1/2'
loop_
_atom_site_label
_atom_site_type_symbol
_atom_site_fract_x
_atom_site_fract_y
_atom_site_fract_z
Zr1 Zr 0.115 0.087 0.096
Zr2 Zr 0.219 0.083 0.404
Sc1 Sc 0.044 0.417 0.887
Fe1 Fe 0.000 0.076 0.250
Fe2 Fe 0.244 0.341 0.250
N1 N 0.081 0.257 0.500
N2 N 0.250 0.250 0.000
```

---

No. 14
Dy2BeIr2 | GGA-PBE | optimized geometry

CIF file:
```
data_Dy2BeIr2
_cell_length_a 10.057
_cell_length_b 5.426
_cell_length_c 7.165
_cell_angle_alpha 90.00
_cell_angle_beta 102.68
_cell_angle_gamma 90.00
_space_group_name_H-M_alt 'C 1 2/c 1'
_space_group_IT_number 15
loop_
_space_group_symop_operation_xyz
'x,y,z'
'-x,-y,-z'
'-x,y,-z+1/2'
'x,-y,z+1/2'
'x+1/2,y+1/2,z'
'-x+1/2,-y+1/2,-z'
'-x+1/2,y+1/2,-z+1/2'
'x+1/2,-y+1/2,z+1/2'
loop_
_atom_site_label
_atom_site_type_symbol
_atom_site_fract_x
_atom_site_fract_y
_atom_site_fract_z
Dy1 Dy 0.147 0.135 0.147
Be1 Be 0.000 0.407 0.750
Ir1 Ir 0.128 0.367 0.511
```

---

No. 15
SnPtNO | GGA-PBE | optimized geometry

CIF file:
```
data_SnPtNO
_cell_length_a 4.723
_cell_length_b 4.723
_cell_length_c 4.597
_cell_angle_alpha 90.00
_cell_angle_beta 90.00
_cell_angle_gamma 90.00
_space_group_name_H-M_alt 'P 4/n m m'
_space_group_IT_number 129
loop_
_space_group_symop_operation_xyz
'x,y,z'
'-x,-y,-z'
'-y+1/2,x,z'
'y+1/2,-x,-z'
'-x+1/2,-y+1/2,z'
'x+1/2,y+1/2,-z'
'y,-x+1/2,z'
'-y,x+1/2,-z'
'x+1/2,-y,-z'
'-x+1/2,y,z'
'-y,-x,-z'
'y,x,z'
'-x,y+1/2,-z'
'x,-y+1/2,z'
'y+1/2,x+1/2,-z'
'-y+1/2,-x+1/2,z'
loop_
_atom_site_label
_atom_site_type_symbol
_atom_site_fract_x
_atom_site_fract_y
_atom_site_fract_z
Sn1 Sn 0.250 0.750 0.000
Pt1 Pt 0.250 0.250 0.493
N1 N 0.250 0.250 0.987
O1 O 0.250 0.750 0.500
```

Energy relative to the lowest polymorph listed for this composition, kJ/mol of formula units: 183

---

No. 16
NaInAsIr | GGA-PBE | optimized geometry

CIF file:
```
data_NaInAsIr
_cell_length_a 6.702
_cell_length_b 6.702
_cell_length_c 6.702
_cell_angle_alpha 90.00
_cell_angle_beta 90.00
_cell_angle_gamma 90.00
_space_group_name_H-M_alt 'F -4 3 m'
_space_group_IT_number 216
_space_group_name_Hall 'F -4 2 3'
loop_
_atom_site_label
_atom_site_type_symbol
_atom_site_fract_x
_atom_site_fract_y
_atom_site_fract_z
Na1 Na 0.000 0.000 0.000
In1 In 0.000 0.000 0.500
As1 As 0.250 0.250 0.750
Ir1 Ir 0.250 0.250 0.250
```

Energy relative to the lowest polymorph listed for this composition, kJ/mol of formula units: 110

---

No. 17
AcGa6Pt4 | GGA-PBE | optimized geometry

CIF file:
```
data_AcGa6Pt4
_cell_length_a 7.4474
_cell_length_b 7.4474
_cell_length_c 4.1386
_cell_angle_alpha 90.00
_cell_angle_beta 90.00
_cell_angle_gamma 120.00
_space_group_name_H-M_alt 'P -6 m 2'
_space_group_IT_number 187
_space_group_name_Hall 'P -6 2'
loop_
_atom_site_label
_atom_site_type_symbol
_atom_site_fract_x
_atom_site_fract_y
_atom_site_fract_z
Ac1 Ac 0.0000 0.0000 0.0000
Ga1 Ga 0.2007 0.4014 0.5000
Ga2 Ga 0.5342 0.0685 0.0000
Pt1 Pt 0.3333 0.6667 0.0000
Pt2 Pt 0.4060 0.2030 0.5000
```

---

No. 18
LiLuAlCu | GGA-PBE | optimized geometry

CIF file:
```
data_LiLuAlCu
_cell_length_a 6.430
_cell_length_b 6.430
_cell_length_c 6.430
_cell_angle_alpha 90.00
_cell_angle_beta 90.00
_cell_angle_gamma 90.00
_space_group_name_H-M_alt 'F -4 3 m'
_space_group_IT_number 216
_space_group_name_Hall 'F -4 2 3'
loop_
_atom_site_label
_atom_site_type_symbol
_atom_site_fract_x
_atom_site_fract_y
_atom_site_fract_z
Li1 Li 0.000 0.000 0.000
Lu1 Lu 0.250 0.250 0.250
Al1 Al 0.000 0.000 0.500
Cu1 Cu 0.250 0.250 0.750
```

Energy relative to the lowest polymorph listed for this composition, kJ/mol of formula units: 78

---

No. 19
LaTbNi2B2N2 | GGA-PBE | optimized geometry

CIF file:
```
data_LaTbNi2B2N2
_cell_length_a 3.609
_cell_length_b 3.609
_cell_length_c 7.536
_cell_angle_alpha 90.00
_cell_angle_beta 90.00
_cell_angle_gamma 90.00
_space_group_name_H-M_alt 'P 4 m m'
_space_group_IT_number 99
loop_
_space_group_symop_operation_xyz
'x,y,z'
'-y,x,z'
'-x,-y,z'
'y,-x,z'
'-x,y,z'
'y,x,z'
'x,-y,z'
'-y,-x,z'
loop_
_atom_site_label
_atom_site_type_symbol
_atom_site_fract_x
_atom_site_fract_y
_atom_site_fract_z
La1 La 0.000 0.000 0.000
Tb1 Tb 0.500 0.500 0.657
Ni1 Ni 0.000 0.500 0.332
B1 B 0.000 0.000 0.480
B2 B 0.500 0.500 0.172
N1 N 0.000 0.000 0.673
N2 N 0.500 0.500 0.978
```

---

No. 20
Zr2Co | GGA-PBE | optimized geometry

CIF file:
```
data_Zr2Co
_cell_length_a 5.5772
_cell_length_b 5.5772
_cell_length_c 4.1340
_cell_angle_alpha 90.00
_cell_angle_beta 90.00
_cell_angle_gamma 120.00
_space_group_name_H-M_alt 'P -6 2 m'
_space_group_IT_number 189
_space_group_name_Hall 'P -6 -2'
loop_
_atom_site_label
_atom_site_type_symbol
_atom_site_fract_x
_atom_site_fract_y
_atom_site_fract_z
Zr1 Zr 0.0000 0.0000 0.0000
Zr2 Zr 0.0000 0.6033 0.5000
Co1 Co 0.3333 0.6667 0.0000
```

---

| no. | E_tot (hartree per atom) |
| --- | --- |
| 1 | -0.2502 |
| 2 | -0.3791 |
| 3 | -0.2184 |
| 4 | -0.3092 |
| 5 | -0.1166 |
| 6 | -0.1809 |
| 7 | -0.3669 |
| 8 | -0.1385 |
| 9 | -0.2505 |
| 10 | -0.1637 |
| 11 | -0.2415 |
| 12 | -0.2615 |
| 13 | -0.3246 |
| 14 | -0.2531 |
| 15 | -0.2013 |
| 16 | -0.1509 |
| 17 | -0.1837 |
| 18 | -0.1322 |
| 19 | -0.2695 |
| 20 | -0.2939 |